No. 1
# Er2NiSe

Er2NiSe after structural relaxation (PBE, Alexandria via LeMat-Bulk).

The crystal system is orthorhombic. The calculation puts the total energy at -5.68 eV per atom. The energy relative to the lowest polymorph listed for this composition comes out at 0 meV per atom. For the energy relative to the elements, uncorrected, the calculation gives -1.085 eV/atom. The total moment is 0.0 μB per cell.

Unit cell a=4.108 b=3.856 c=11.112 alpha=99.99 beta=90.00 gamma=90.00
Sites, in units of the cell vectors:
Er: 0.750 0.672 0.344
Er: 0.250 0.328 0.656
Er: 0.750 0.938 0.877
Er: 0.250 0.062 0.123
Ni: 0.250 0.464 0.928
Ni: 0.750 0.536 0.072
Se: 0.250 0.194 0.388
Se: 0.750 0.806 0.612

No. 2
# Er5Ni2Se2

Er5Ni2Se2 after structural relaxation (PBE, Alexandria via LeMat-Bulk).

The crystal system is orthorhombic. The calculation puts the total energy at -5.54 eV per atom. For the energy relative to the elements, uncorrected, the calculation gives -0.946 eV/atom. The total moment is 0.0 μB per cell.

Unit cell a=7.379 b=7.388 c=8.269 alpha=90.00 beta=63.50 gamma=90.00
Sites, in units of the cell vectors:
Ni: 0.367 0.870 0.000
Ni: 0.867 0.630 0.000
Ni: 0.133 0.370 0.000
Ni: 0.633 0.130 0.000
Er: 0.213 0.158 0.253
Er: 0.535 0.842 0.253
Er: 0.035 0.658 0.253
Er: 0.713 0.342 0.253
Er: 0.287 0.658 0.747
Er: 0.965 0.342 0.747
Er: 0.500 0.500 0.000
Er: 0.787 0.842 0.747
Er: 0.465 0.158 0.747
Er: 0.000 0.000 0.000
Se: 0.206 0.000 0.589
Se: 0.794 0.000 0.411
Se: 0.294 0.500 0.411
Se: 0.706 0.500 0.589

No. 3
# Er4NiTe2Se

Er4NiTe2Se after structural relaxation (PBE, Alexandria via LeMat-Bulk).

The crystal system is monoclinic. The calculation puts the total energy at -5.40 eV per atom. For the energy relative to the elements, uncorrected, the calculation gives -1.170 eV/atom. The total moment is 0.0 μB per cell.

Unit cell a=4.030 b=7.312 c=7.402 alpha=108.17 beta=90.00 gamma=90.00
Sites, in units of the cell vectors:
Er: 0.500 0.255 0.218
Er: 0.000 0.713 0.202
Er: 0.500 0.745 0.782
Er: 0.000 0.287 0.798
Te: 0.000 0.500 0.500
Te: 0.500 0.000 0.500
Se: 0.000 0.000 0.000
Ni: 0.500 0.500 0.000

Question: Which of these has the lowest energy relative to the elements, uncorrected?
Answer: Er4NiTe2Se

Question: Look up the energy relative to the elements, uncorrected of the second one.
Answer: -0.946 eV/atom